# 1
A plane-wave DFT calculation with PBEsol was carried out for BaSbRh2 after structural relaxation.

Cell lengths 6.1282, 6.1282, 6.1282 Å; angles 42.80, 42.80, 42.80 degrees
Closest atoms and distances in Å follow each position.
Fractional coordinates of all 4 atoms:
Ba  0.0000  0.0000  0.0000  8 Rh 3.25-3.46
Sb  0.5000  0.5000  0.5000  6 Rh 2.62
Rh  0.1950  0.1950  0.1950  3 Sb 2.62, 3 Rh 2.75
Rh  0.8050  0.8050  0.8050  3 Sb 2.62, 3 Rh 2.75

Output
* energy: -6.238 eV per atom
* DOS(E_F): 1.553 states/eV/cell
* size of the total moment: 0.00 μB/atom
* E_form (uncorrected): -0.492 eV/atom


# 2
A plane-wave DFT calculation with PBEsol was carried out for BaSb2Rh after structural relaxation.

Cell lengths 4.5680, 4.5680, 4.8070 Å; angles 90.00, 90.00, 90.00 degrees
Closest atoms and distances in Å follow each position.
Fractional coordinates of all 4 atoms:
Ba  0.0000  0.0000  0.0000  4 Rh 3.23, 8 Sb 3.32
Sb  0.0000  0.5000  0.5000  4 Sb 3.23, 4 Rh 3.32, 4 Ba 3.32
Sb  0.5000  0.0000  0.5000  4 Sb 3.23, 4 Rh 3.32, 4 Ba 3.32
Rh  0.5000  0.5000  0.0000  4 Ba 3.23, 8 Sb 3.32

Output
* energy: -4.924 eV per atom
* DOS(E_F): 2.586 states/eV/cell
* size of the total moment: 0.00 μB/atom
* E_form (uncorrected): -0.073 eV/atom


# 3
A plane-wave DFT calculation with PBEsol was carried out for BaSb2Rh after structural relaxation.

Cell lengths 4.3834, 4.3834, 6.8691 Å; angles 108.50, 108.50, 59.85 degrees
Closest atoms and distances in Å follow each position.
Fractional coordinates of all 4 atoms:
Ba  0.0000  0.0000  0.0000  6 Sb 3.37
Sb  0.2173  0.2173  0.6511  3 Rh 2.71
Sb  0.7827  0.7827  0.3489  3 Rh 2.71
Rh  0.5000  0.5000  0.5000  6 Sb 2.71

Output
* energy: -5.550 eV per atom
* DOS(E_F): 1.499 states/eV/cell
* size of the total moment: 0.00 μB/atom
* E_form (uncorrected): -0.700 eV/atom


# 4
A plane-wave DFT calculation with PBEsol was carried out for BaSbRh2 after structural relaxation.

Cell lengths 4.7742, 4.2677, 5.2260 Å; angles 90.00, 106.15, 90.00 degrees
Closest atoms and distances in Å follow each position.
Fractional coordinates of all 4 atoms:
Ba  0.0000  0.0000  0.0000  4 Rh 2.98-3.26
Sb  0.3281  0.5000  0.6108  4 Rh 2.52-2.79
Rh  0.5497  0.0000  0.4740  2 Rh 2.53, 2 Sb 2.57
Rh  0.7891  0.5000  0.3804  2 Sb 2.52-2.79, 2 Rh 2.53

Output
* energy: -5.929 eV per atom
* DOS(E_F): 4.134 states/eV/cell
* size of the total moment: 0.00 μB/atom
* E_form (uncorrected): -0.183 eV/atom


# 5
A plane-wave DFT calculation with PBEsol was carried out for BaScRh2 after structural relaxation.

Cell lengths 4.8518, 4.8518, 4.8518 Å; angles 60.00, 60.00, 60.00 degrees
Closest atoms and distances in Å follow each position.
Fractional coordinates of all 4 atoms:
Ba  0.0000  0.0000  0.0000  8 Rh 2.97
Sc  0.5000  0.5000  0.5000  8 Rh 2.97
Rh  0.2500  0.2500  0.2500  4 Ba 2.97, 4 Sc 2.97
Rh  0.7500  0.7500  0.7500  4 Ba 2.97, 4 Sc 2.97

Output
* energy: -6.350 eV per atom
* DOS(E_F): 2.222 states/eV/cell
* size of the total moment: 0.00 μB/atom
* offset from the most stable computed form: 1.073 eV per formula unit
* formation energy: -0.092 eV/atom


# 6
A plane-wave DFT calculation with PBEsol was carried out for BaScRh2 after structural relaxation.

Cell lengths 3.2784, 3.2784, 7.5093 Å; angles 90.00, 90.00, 90.00 degrees
Closest atoms and distances in Å follow each position.
Fractional coordinates of all 4 atoms:
Ba  0.0000  0.0000  0.0000  8 Rh 3.26, 4 Ba 3.28
Sc  0.0000  0.0000  0.5000  8 Rh 2.74
Rh  0.5000  0.5000  0.3046  4 Sc 2.74, 1 Rh 2.93
Rh  0.5000  0.5000  0.6954  4 Sc 2.74, 1 Rh 2.93

Output
* energy: -6.618 eV per atom
* DOS(E_F): 2.295 states/eV/cell
* size of the total moment: 0.00 μB/atom
* offset from the most stable computed form: 0.000 eV per formula unit
* formation energy: -0.360 eV/atom


What did the fifth record say?
A plane-wave DFT calculation with PBEsol was carried out for BaScRh2 after structural relaxation.

Cell lengths 4.8518, 4.8518, 4.8518 Å; angles 60.00, 60.00, 60.00 degrees
Closest atoms and distances in Å follow each position.
Fractional coordinates of all 4 atoms:
Ba  0.0000  0.0000  0.0000  8 Rh 2.97
Sc  0.5000  0.5000  0.5000  8 Rh 2.97
Rh  0.2500  0.2500  0.2500  4 Ba 2.97, 4 Sc 2.97
Rh  0.7500  0.7500  0.7500  4 Ba 2.97, 4 Sc 2.97

Output
* energy: -6.350 eV per atom
* DOS(E_F): 2.222 states/eV/cell
* size of the total moment: 0.00 μB/atom
* offset from the most stable computed form: 1.073 eV per formula unit
* formation energy: -0.092 eV/atom


Which value of energy does entry 3 give?
-5.550 eV per atom


The lowest energy belongs to which entry?
number 6


Please write out number 4 again, unchanged.
A plane-wave DFT calculation with PBEsol was carried out for BaSbRh2 after structural relaxation.

Cell lengths 4.7742, 4.2677, 5.2260 Å; angles 90.00, 106.15, 90.00 degrees
Closest atoms and distances in Å follow each position.
Fractional coordinates of all 4 atoms:
Ba  0.0000  0.0000  0.0000  4 Rh 2.98-3.26
Sb  0.3281  0.5000  0.6108  4 Rh 2.52-2.79
Rh  0.5497  0.0000  0.4740  2 Rh 2.53, 2 Sb 2.57
Rh  0.7891  0.5000  0.3804  2 Sb 2.52-2.79, 2 Rh 2.53

Output
* energy: -5.929 eV per atom
* DOS(E_F): 4.134 states/eV/cell
* size of the total moment: 0.00 μB/atom
* E_form (uncorrected): -0.183 eV/atom